1.
The following is a DFT calculation (PBE+U) of an optimized crystal structure of TcNi3O.

Relative energy among the computed polymorphs: 186.5 kJ per mole of atoms
Total DFT energy (no corrections): -2.03 eV per atom
N(E_F): 1.136 states/eV per atom
Size of the total moment: 0.0 Bohr magnetons per cell

Lattice parameters (Å, degrees): 4.3792 4.3792 4.3792 90.00 90.00 90.00
Fractional coordinates of all 5 atoms:
Ni 0.0000 0.5000 0.0000
Ni 0.0000 0.0000 0.5000
Ni 0.5000 0.0000 0.0000
Tc 0.0000 0.0000 0.0000
O 0.5000 0.5000 0.5000


2.
The following is a DFT calculation (PBE+U) of an optimized crystal structure of Tc3NiO.

Relative energy among the computed polymorphs: 0.0 kJ per mole of atoms
Total DFT energy (no corrections): -7.30 eV per atom
N(E_F): 0.727 states/eV per atom
Size of the total moment: 0.0 Bohr magnetons per cell

Lattice parameters (Å, degrees): 3.9980 3.9980 3.9980 90.00 90.00 90.00
Fractional coordinates of all 5 atoms:
Ni 0.5000 0.5000 0.5000
Tc 0.0000 0.5000 0.0000
Tc 0.0000 0.0000 0.5000
Tc 0.5000 0.0000 0.0000
O 0.0000 0.0000 0.0000


3.
The following is a DFT calculation (PBE+U) of an optimized crystal structure of TcNiO3.

Total DFT energy (no corrections): -5.56 eV per atom
N(E_F): 0.551 states/eV per atom
Size of the total moment: 5.0 Bohr magnetons per cell

Lattice parameters (Å, degrees): 3.7008 3.7008 3.7008 90.00 90.00 90.00
Each line ends with the local moment (μB).
Fractional coordinates of all 5 atoms:
Ni 0.0000 0.0000 0.0000  1.28
Tc 0.5000 0.5000 0.5000  3.45
O 0.0000 0.5000 0.0000  -0.05
O 0.0000 0.0000 0.5000  0.06
O 0.5000 0.0000 0.0000  -0.04


4.
The following is a DFT calculation (PBE+U) of an optimized crystal structure of Tc3NiO.

Relative energy among the computed polymorphs: 185.6 kJ per mole of atoms
Total DFT energy (no corrections): -5.38 eV per atom
N(E_F): 1.265 states/eV per atom
Size of the total moment: 5.1 Bohr magnetons per cell

Lattice parameters (Å, degrees): 4.4188 4.4188 4.4188 90.00 90.00 90.00
Each line ends with the local moment (μB).
Fractional coordinates of all 5 atoms:
Ni 0.0000 0.0000 0.0000  0.68
Tc 0.0000 0.5000 0.0000  1.35
Tc 0.0000 0.0000 0.5000  1.42
Tc 0.5000 0.0000 0.0000  1.16
O 0.5000 0.5000 0.5000  0.21


5.
The following is a DFT calculation (PBE+U) of an optimized crystal structure of Tl2TcNiO6.

Total DFT energy (no corrections): -5.69 eV per atom
N(E_F): 0.253 states/eV per atom
Size of the total moment: 2.0 Bohr magnetons per cell

Lattice parameters (Å, degrees): 5.6031 5.6079 5.6083 60.49 60.37 90.62
Each line ends with the local moment (μB).
Fractional coordinates of all 10 atoms:
Tl 0.7470 0.2359 0.5109  0.00
Tl 0.2530 0.7641 0.4891  0.00
Tc 0.5000 0.5000 0.0000  0.06
Ni 0.0000 0.0000 0.0000  1.79
O 0.2144 0.2196 0.4775  0.02
O 0.7376 0.6535 0.0822  0.03
O 0.3050 0.7831 0.0026  0.02
O 0.6950 0.2169 0.9974  0.02
O 0.2624 0.3465 0.9178  0.03
O 0.7856 0.7804 0.5225  0.02


6.
The following is a DFT calculation (PBE+U) of an optimized crystal structure of TlTcNiO4.

Total DFT energy (no corrections): -6.05 eV per atom
N(E_F): 0.353 states/eV per atom
Size of the total moment: 7.0 Bohr magnetons per cell

Lattice parameters (Å, degrees): 3.9897 6.2009 9.1408 90.00 106.73 90.00
Each line ends with the local moment (μB).
Fractional coordinates of all 14 atoms:
Tl 0.5240 0.7500 0.8976  0.02
Tl 0.4760 0.2500 0.1024  0.02
Tc 0.1446 0.7500 0.3355  1.11
Tc 0.8554 0.2500 0.6645  1.11
Ni 0.8156 0.7500 0.5950  1.78
Ni 0.1844 0.2500 0.4050  1.78
O 0.9222 0.5148 0.7634  0.09
O 0.0778 0.0148 0.2366  0.09
O 0.0778 0.4852 0.2366  0.09
O 0.9222 0.9852 0.7634  0.09
O 0.6628 0.7500 0.3638  0.14
O 0.3372 0.2500 0.6362  0.14
O 0.2857 0.7500 0.5504  0.08
O 0.7143 0.2500 0.4496  0.08


7.
The following is a DFT calculation (PBE+U) of an optimized crystal structure of VTcNi2O6.

Total DFT energy (no corrections): -6.29 eV per atom
N(E_F): 0.123 states/eV per atom
Size of the total moment: 3.3 Bohr magnetons per cell

Lattice parameters (Å, degrees): 3.7692 5.6401 5.6401 90.00 90.00 90.00
Each line ends with the local moment (μB).
Fractional coordinates of all 10 atoms:
V 0.6831 0.5000 0.5000  0.07
Tc 0.7411 0.0000 0.0000  1.03
Ni 0.7756 0.5000 0.0000  1.01
Ni 0.7756 0.0000 0.5000  1.01
O 0.7474 0.2569 0.2569  0.04
O 0.7474 0.2569 0.7431  0.04
O 0.2393 0.5000 0.5000  0.01
O 0.2426 0.0000 0.0000  0.00
O 0.7474 0.7431 0.7431  0.04
O 0.7474 0.7431 0.2569  0.04


8.
The following is a DFT calculation (PBE+U) of an optimized crystal structure of YTcNiO2.

Total DFT energy (no corrections): -5.45 eV per atom
N(E_F): 0.385 states/eV per atom
Size of the total moment: 3.3 Bohr magnetons per cell

Lattice parameters (Å, degrees): 3.9506 4.7364 3.9506 90.00 90.00 90.00
Each line ends with the local moment (μB).
Fractional coordinates of all 5 atoms:
Y 0.0000 0.5000 0.0000  -0.13
Ni 0.0000 0.0000 0.0000  0.79
Tc 0.5000 0.5000 0.5000  2.27
O 0.0000 0.0000 0.5000  0.06
O 0.5000 0.0000 0.0000  0.07